No. 1
First-principles (PBE) data for a relaxed structure of CePm4Ho, as listed in Alexandria via LeMat-Bulk.

Properties
volume: 200 Å³/cell
final energy: -4.86 eV per atom
excess energy over the best structure of this formula in the dataset: 0.0 meV per atom
ΔH_f (0 K): 0.060 eV/atom
SG: P-1
Fermi-level density of states: 12.3 states/eV per cell

Unit cell a=5.1153 b=8.0679 c=8.8337 alpha=136.78 beta=54.59 gamma=108.46
Atoms (fractional coordinates):
Ce 0.5000 0.0000 0.0000
Pm 0.1655 0.3289 0.9988
Pm 0.8345 0.6711 0.0012
Pm 0.6700 0.3304 0.4953
Pm 0.3300 0.6696 0.5047
Ho 0.0000 0.0000 0.5000

No. 2
First-principles (PBE) data for a relaxed structure of CsPrIn2I6, as listed in Alexandria via LeMat-Bulk.

Properties
volume: 524 Å³/cell
final energy: -3.11 eV per atom
E_form (uncorrected): -1.06 eV/atom
SG: P1
Fermi-level density of states: 0.0 states/eV per cell

Unit cell a=8.7841 b=8.7830 c=9.3429 alpha=61.93 beta=61.92 gamma=59.95
Atoms (fractional coordinates):
Cs 0.8089 0.8093 0.5725
Pr 0.3263 0.3262 0.0210
In 0.5177 0.5174 0.4477
In 0.0036 0.0037 0.9898
I 0.5632 0.2450 0.2343
I 0.2448 0.9573 0.2345
I 0.9574 0.5635 0.2344
I 0.3607 0.7155 0.7602
I 0.7158 0.1628 0.7605
I 0.1633 0.3609 0.7604

> Which of these has the lowest final energy?

CePm4Ho